The following is a DFT calculation (GGA+U) of a geometry-optimized FeCu2Cl2O structure.

Results
**SG**: Cmc2_1 (36)
**Total moment**: 8.0 μB/cell
**E_tot**: -4.411 eV per atom

Cell lengths 6.369, 6.369, 6.067 Å; angles 90.00, 90.00, 59.60 degrees
Positions (direct):
Fe (0.120, 0.880, 0.500)
Fe (0.880, 0.120, 0.000)
Cu (0.178, 0.590, 0.992)
Cu (0.410, 0.822, 0.992)
Cu (0.590, 0.178, 0.492)
Cu (0.822, 0.410, 0.492)
Cl (0.175, 0.488, 0.640)
Cl (0.488, 0.175, 0.140)
Cl (0.512, 0.825, 0.640)
Cl (0.825, 0.512, 0.140)
O (0.144, 0.856, 0.178)
O (0.856, 0.144, 0.678)